Density functional theory data (PBE-GGA) for crystalline Li4ErTh3Se8 at its relaxed geometry.

Cell lengths 8.1585, 8.1585, 8.1585 Å; angles 59.77, 59.77, 59.77 degrees
Sites, in units of the cell vectors:
Li (0.0000, 0.0000, 0.0000)
Li (0.0000, 0.5000, 0.5000)
Li (0.5000, 0.0000, 0.5000)
Li (0.5000, 0.5000, 0.0000)
Er (0.5000, 0.5000, 0.5000)
Th (0.0000, 0.0000, 0.5000)
Th (0.0000, 0.5000, 0.0000)
Th (0.5000, 0.0000, 0.0000)
Se (0.2501, 0.2501, 0.7367)
Se (0.2501, 0.7367, 0.2501)
Se (0.2580, 0.2580, 0.2580)
Se (0.2633, 0.7499, 0.7499)
Se (0.7367, 0.2501, 0.2501)
Se (0.7420, 0.7420, 0.7420)
Se (0.7499, 0.2633, 0.7499)
Se (0.7499, 0.7499, 0.2633)

Summary:
- space-group type = No. 166

***

Density functional theory data (PBE-GGA) for crystalline LiErThSe3 at its relaxed geometry.

Cell lengths 8.4755, 3.9395, 8.7840 Å; angles 90.00, 103.75, 90.00 degrees
Sites, in units of the cell vectors:
Li (0.0893, 0.2500, 0.0859)
Li (0.9107, 0.7500, 0.9141)
Er (0.3369, 0.7500, 0.3553)
Er (0.6631, 0.2500, 0.6447)
Th (0.1970, 0.2500, 0.7191)
Th (0.8030, 0.7500, 0.2809)
Se (0.0920, 0.2500, 0.3688)
Se (0.2219, 0.7500, 0.9965)
Se (0.4481, 0.7500, 0.6933)
Se (0.5519, 0.2500, 0.3067)
Se (0.7781, 0.2500, 0.0035)
Se (0.9080, 0.7500, 0.6312)

Summary:
- space-group type = No. 11

***

Density functional theory data (PBE-GGA) for crystalline Li3Er3TiSe8 at its relaxed geometry.

Cell lengths 7.9417, 7.9417, 7.9417 Å; angles 59.94, 59.94, 59.94 degrees
Sites, in units of the cell vectors:
Li (0.0000, 0.5000, 0.5000)
Li (0.5000, 0.0000, 0.5000)
Li (0.5000, 0.5000, 0.0000)
Er (0.0000, 0.0000, 0.5000)
Er (0.0000, 0.5000, 0.0000)
Er (0.5000, 0.0000, 0.0000)
Ti (0.5000, 0.5000, 0.5000)
Se (0.2516, 0.2516, 0.2516)
Se (0.2659, 0.2659, 0.7301)
Se (0.2659, 0.7301, 0.2659)
Se (0.2699, 0.7341, 0.7341)
Se (0.7301, 0.2659, 0.2659)
Se (0.7341, 0.2699, 0.7341)
Se (0.7341, 0.7341, 0.2699)
Se (0.7484, 0.7484, 0.7484)

Summary:
- space-group type = No. 166

***

Density functional theory data (PBE-GGA) for crystalline Li4Er3TiSe8 at its relaxed geometry.

Cell lengths 7.9230, 7.9230, 7.9230 Å; angles 59.93, 59.93, 59.93 degrees
Sites, in units of the cell vectors:
Li (0.0000, 0.0000, 0.0000)
Li (0.0000, 0.5000, 0.5000)
Li (0.5000, 0.0000, 0.5000)
Li (0.5000, 0.5000, 0.0000)
Er (0.0000, 0.0000, 0.5000)
Er (0.0000, 0.5000, 0.0000)
Er (0.5000, 0.0000, 0.0000)
Ti (0.5000, 0.5000, 0.5000)
Se (0.2517, 0.2517, 0.2517)
Se (0.2595, 0.2595, 0.7353)
Se (0.2595, 0.7353, 0.2595)
Se (0.2647, 0.7405, 0.7405)
Se (0.7353, 0.2595, 0.2595)
Se (0.7405, 0.2647, 0.7405)
Se (0.7405, 0.7405, 0.2647)
Se (0.7483, 0.7483, 0.7483)

Summary:
- space-group type = No. 166

***

Density functional theory data (PBE-GGA) for crystalline Li2ErTiSe4 at its relaxed geometry.

Cell lengths 6.7176, 3.8609, 6.8417 Å; angles 90.00, 109.06, 90.00 degrees
Sites, in units of the cell vectors:
Li (0.0000, 0.0000, 0.0000)
Li (0.5000, 0.5000, 0.0000)
Er (0.0000, 0.5000, 0.5000)
Ti (0.5000, 0.0000, 0.5000)
Se (0.2662, 0.0000, 0.7500)
Se (0.2689, 0.5000, 0.2603)
Se (0.7311, 0.5000, 0.7397)
Se (0.7338, 0.0000, 0.2500)

Summary:
- space-group type = No. 10

***

Density functional theory data (PBE-GGA) for crystalline LiEr2TlSe4 at its relaxed geometry.

Cell lengths 7.2450, 7.2450, 14.5893 Å; angles 90.00, 90.00, 146.74 degrees
Sites, in units of the cell vectors:
Li (0.1707, 0.8293, 0.7500)
Li (0.8293, 0.1707, 0.2500)
Er (0.3659, 0.6341, 0.0621)
Er (0.3659, 0.6341, 0.4379)
Er (0.6341, 0.3659, 0.5621)
Er (0.6341, 0.3659, 0.9379)
Tl (0.1053, 0.8947, 0.2500)
Tl (0.8947, 0.1053, 0.7500)
Se (0.0000, 0.0000, 0.0000)
Se (0.0000, 0.0000, 0.5000)
Se (0.2648, 0.7352, 0.6064)
Se (0.2648, 0.7352, 0.8936)
Se (0.4282, 0.5718, 0.2500)
Se (0.5718, 0.4282, 0.7500)
Se (0.7352, 0.2648, 0.1064)
Se (0.7352, 0.2648, 0.3936)

Summary:
- space-group type = No. 63

***

| no. | ρ (Mg/m³) | uncorrected formation energy (eV per atom) |
| --- | --- | --- |
| 1 | 6.620 | -1.52 |
| 2 | 7.497 | -1.52 |
| 3 | 5.644 | -1.55 |
| 4 | 5.718 | -1.54 |
| 5 | 5.394 | -1.41 |
| 6 | 6.815 | -1.50 |